Entry 1:
VASP calculation (PBE) on crystalline Pu5Hg2Ir2 at its relaxed geometry.

Computed properties:
ρ, g/cm3: 14.26
Energy relative to the elements, eV per formula unit: -2.46
Total moment, μB/cell: 113.25
Crystal system: orthorhombic

Cell lengths 15.8986, 7.6481, 7.6853 Å; angles 90.00, 90.00, 90.00 degrees
With the nearest neighbours (Å) after each atom.
Space group Cmce (No. 64)
Symmetry-distinct sites (fractional):
Pu 0.0000 0.0000 0.0000 x4  4 Ir 2.95-2.96
Pu 0.1165 0.1599 0.3408 x16  3 Ir 2.84-2.97
Hg 0.2124 0.0000 0.0000 x8  7 Pu 3.22-3.38
Ir 0.0000 0.1416 0.6416 x8  8 Pu 2.84-2.97, 1 Ir 3.07

=====

Entry 2:
VASP calculation (PBE) on crystalline PuThHgIr at its relaxed geometry.

Computed properties:
ρ, g/cm3: 14.91
Energy relative to the elements, eV per formula unit: -1.21
Excess energy over the best structure of this formula in the dataset, kJ/mol of formula units: 40
Total moment, μB/cell: 23.02
Crystal system: cubic

Cell lengths 7.2873, 7.2873, 7.2873 Å; angles 90.00, 90.00, 90.00 degrees
With the nearest neighbours (Å) after each atom.
Space group F-43m (No. 216)
Symmetry-distinct sites (fractional):
Pu 0.0000 0.0000 0.0000 x4  4 Ir 3.16, 4 Hg 3.16
Th 0.0000 0.0000 0.5000 x4  4 Hg 3.16, 4 Ir 3.16
Hg 0.2500 0.2500 0.7500 x4  4 Th 3.16, 4 Pu 3.16
Ir 0.2500 0.2500 0.2500 x4  4 Th 3.16, 4 Pu 3.16

=====

Entry 3:
VASP calculation (PBE) on crystalline PuThHgIr at its relaxed geometry.

Computed properties:
ρ, g/cm3: 12.74
Energy relative to the elements, eV per formula unit: -1.63
Excess energy over the best structure of this formula in the dataset, kJ/mol of formula units: 0
Total moment, μB/cell: 16.48
Crystal system: trigonal

Cell lengths 4.1529, 4.1529, 22.7422 Å; angles 90.00, 90.00, 120.00 degrees
With the nearest neighbours (Å) after each atom.
Space group R3m (No. 160, hexagonal axes)
Symmetry-distinct sites (fractional):
Pu 0.0000 0.0000 0.0000 x3  3 Ir 2.85
Th 0.0000 0.0000 0.7994 x3  3 Ir 2.82
Hg 0.0000 0.0000 0.5696 x3  3 Pu 3.26, 3 Th 3.36
Ir 0.0000 0.0000 0.4008 x3  3 Th 2.82, 3 Pu 2.85

=====

Entry 4:
VASP calculation (PBE) on crystalline RbHgIr at its relaxed geometry.

Computed properties:
ρ, g/cm3: 8.96
Energy relative to the elements, eV per formula unit: 0.75
Excess energy over the best structure of this formula in the dataset, kJ/mol of formula units: 17
Total moment, μB/cell: 0.00
Crystal system: monoclinic

Cell lengths 6.3643, 4.4349, 7.0277 Å; angles 90.00, 116.67, 90.00 degrees
With the nearest neighbours (Å) after each atom.
Space group Pm (No. 6)
Symmetry-distinct sites (fractional):
Rb 0.0000 0.0000 0.0000 x1  3 Hg 3.45-3.72, 4 Ir 3.54-3.81, 2 Rb 3.85
Rb 0.4953 0.5000 0.0013 x1  4 Hg 3.44-3.82, 4 Ir 3.57-3.79, 2 Rb 3.85
Hg 0.3685 0.0000 0.5392 x1  3 Ir 2.83-2.87, 2 Hg 2.88
Hg 0.6562 0.5000 0.5385 x1  3 Ir 2.83-2.87, 2 Hg 2.88
Ir 0.0553 0.5000 0.4610 x1  2 Ir 2.45
Ir 0.8920 0.0000 0.4600 x1  2 Ir 2.45

=====

Entry 5:
VASP calculation (PBE) on crystalline RbHgIr3 at its relaxed geometry.

Computed properties:
ρ, g/cm3: 12.25
Energy relative to the elements, eV per formula unit: 15.73
Excess energy over the best structure of this formula in the dataset, kJ/mol of formula units: 527
Total moment, μB/cell: 1.31
Crystal system: cubic

Cell lengths 4.8900, 4.8900, 4.8900 Å; angles 90.00, 90.00, 90.00 degrees
With the nearest neighbours (Å) after each atom.
Space group Pm-3m (No. 221)
Symmetry-distinct sites (fractional):
Rb 0.0000 0.0000 0.0000 x1  6 Ir 2.44
Hg 0.5000 0.5000 0.5000 x1  12 Ir 3.46
Ir 0.0000 0.0000 0.5000 x3  2 Rb 2.44

=====

Entry 6:
VASP calculation (PBE) on crystalline RbHgIr at its relaxed geometry.

Computed properties:
ρ, g/cm3: 8.32
Energy relative to the elements, eV per formula unit: 0.57
Excess energy over the best structure of this formula in the dataset, kJ/mol of formula units: 0
Total moment, μB/cell: 0.00
Crystal system: monoclinic

Cell lengths 13.7993, 4.4686, 6.7558 Å; angles 90.00, 113.50, 90.00 degrees
With the nearest neighbours (Å) after each atom.
Space group C2/m (No. 12)
Symmetry-distinct sites (fractional):
Rb 0.1179 0.0000 0.2894 x4  1 Ir 3.31, 4 Hg 3.67-3.71
Hg 0.0941 0.5000 0.6984 x4  3 Ir 2.75-2.90, 1 Hg 2.89
Ir 0.2245 0.0000 0.9288 x4  2 Ir 2.42

=====

Entry 7:
VASP calculation (PBE) on crystalline RbHgIr3 at its relaxed geometry.

Computed properties:
ρ, g/cm3: 10.67
Energy relative to the elements, eV per formula unit: 10.26
Excess energy over the best structure of this formula in the dataset, kJ/mol of formula units: 0
Total moment, μB/cell: 3.14
Crystal system: cubic

Cell lengths 5.1208, 5.1208, 5.1208 Å; angles 90.00, 90.00, 90.00 degrees
With the nearest neighbours (Å) after each atom.
Space group Pm-3m (No. 221)
Symmetry-distinct sites (fractional):
Rb 0.0000 0.0000 0.0000 x1  12 Ir 3.62
Hg 0.5000 0.5000 0.5000 x1  6 Ir 2.56
Ir 0.0000 0.5000 0.5000 x3  2 Hg 2.56

=====

Entry 8:
VASP calculation (PBE) on crystalline RbHgIr at its relaxed geometry.

Computed properties:
ρ, g/cm3: 9.20
Energy relative to the elements, eV per formula unit: 0.58
Excess energy over the best structure of this formula in the dataset, kJ/mol of formula units: 2
Total moment, μB/cell: 0.00
Crystal system: triclinic

Cell lengths 4.4750, 5.8117, 7.0226 Å; angles 94.12, 108.49, 90.00 degrees
With the nearest neighbours (Å) after each atom.
Space group P1 (No. 1)
Symmetry-distinct sites (fractional):
Rb 0.0000 0.0000 0.0000 x1  2 Hg 3.40-3.45, 2 Ir 3.57-3.65, 2 Rb 3.75-3.76
Rb 0.4198 0.5022 0.8345 x1  4 Ir 3.37-3.74, 5 Hg 3.50-3.75, 2 Rb 3.75-3.76
Hg 0.1408 0.5289 0.2737 x1  3 Ir 2.82-2.93, 2 Hg 3.05
Hg 0.7385 0.2690 0.4703 x1  4 Ir 2.84-2.99, 2 Hg 3.05
Ir 0.2677 0.9385 0.5289 x1  2 Ir 2.44
Ir 0.7396 0.7798 0.4724 x1  2 Ir 2.44

=====

Question: The lowest ρ belongs to which entry?
Answer: number 6